Record 1
DFT (PBE) results for a relaxed ZnGa5Pd4 crystal.

Summary:
total energy	-4.079	eV per atom
total magnetic moment	0.00	μB per formula unit
E_form	-0.3612	eV per atom

a b c (Å): 7.8164 8.8005 4.6843
angles (deg): 90.00 90.00 90.00
Space group Pmmn (No. 59, origin choice 2)
Inequivalent atoms, fractional coordinates:
Zn: 0.2500 0.2500 0.2416 (multiplicity 2)
Ga: 0.0725 0.0116 0.2572 (multiplicity 8)
Ga: 0.2500 0.7500 0.5309 (multiplicity 2)
Pd: 0.0702 0.7500 0.0112 (multiplicity 4)
Pd: 0.2500 0.0649 0.7458 (multiplicity 4)



Record 2
DFT (PBE) results for a relaxed ZnGaPd14 crystal.

Summary:
total energy	-4.989	eV per atom
total magnetic moment	0.00	μB per formula unit
E_form	-0.1768	eV per atom

a b c (Å): 9.0525 5.6940 9.4496
angles (deg): 90.00 90.00 90.00
Space group Amm2 (No. 38)
Inequivalent atoms, fractional coordinates:
Zn: 0.0000 0.0000 0.0000 (multiplicity 2)
Ga: 0.0000 0.0000 0.5002 (multiplicity 2)
Pd: 0.0000 0.2494 0.2563 (multiplicity 4)
Pd: 0.2370 0.2484 0.5637 (multiplicity 8)
Pd: 0.2511 0.0000 0.3150 (multiplicity 4)
Pd: 0.2509 0.0000 0.8162 (multiplicity 4)
Pd: 0.5000 0.0000 0.1386 (multiplicity 2)
Pd: 0.5000 0.0000 0.6393 (multiplicity 2)
Pd: 0.5000 0.2498 0.3909 (multiplicity 4)



Record 3
DFT (PBE) results for a relaxed Zn5GaPd2 crystal.

Summary:
total energy	-2.775	eV per atom
total magnetic moment	0.00	μB per formula unit
E_form	-0.3023	eV per atom

a b c (Å): 5.4715 10.8451 3.9404
angles (deg): 90.00 90.00 90.00
Space group Pbam (No. 55)
Inequivalent atoms, fractional coordinates:
Zn: 0.0000 0.0000 0.0000 (multiplicity 2)
Zn: 0.0071 0.2487 0.0000 (multiplicity 4)
Zn: 0.2415 0.8716 0.5000 (multiplicity 4)
Ga: 0.0000 0.5000 0.0000 (multiplicity 2)
Pd: 0.2436 0.6223 0.5000 (multiplicity 4)



Record 4
DFT (PBE) results for a relaxed Zn2Ga2Pd crystal.

Summary:
total energy	-2.769	eV per atom
excess energy over the best structure of this formula in the dataset	0.2325	eV per atom
total magnetic moment	0.00	μB per formula unit
E_form	-0.0100	eV per atom

a b c (Å): 3.5082 3.5082 13.6832
angles (deg): 90.00 90.00 90.00
Space group I4/mmm (No. 139)
Inequivalent atoms, fractional coordinates:
Zn: 0.0000 0.5000 0.2500 (multiplicity 4)
Ga: 0.0000 0.0000 0.0957 (multiplicity 4)
Pd: 0.0000 0.0000 0.5000 (multiplicity 2)



Record 5
DFT (PBE) results for a relaxed Zn8GaPd5 crystal.

Summary:
total energy	-3.107	eV per atom
total magnetic moment	0.00	μB per formula unit
E_form	-0.3085	eV per atom

a b c (Å): 7.4174 7.4174 7.9814
angles (deg): 90.00 90.00 90.00
Space group I-4 (No. 82)
Inequivalent atoms, fractional coordinates:
Zn: 0.0703 0.1659 0.1598 (multiplicity 8)
Zn: 0.0974 0.3374 0.5185 (multiplicity 8)
Ga: 0.0000 0.0000 0.5000 (multiplicity 2)
Pd: 0.0000 0.5000 0.2500 (multiplicity 2)
Pd: 0.1347 0.2817 0.8380 (multiplicity 8)



Record 6
DFT (PBE) results for a relaxed Zn2Ga5Pd3 crystal.

Summary:
total energy	-3.656	eV per atom
total magnetic moment	0.00	μB per formula unit
E_form	-0.3299	eV per atom

a b c (Å): 9.2608 12.8016 5.5411
angles (deg): 90.00 100.01 90.00
Space group C2/c (No. 15)
Inequivalent atoms, fractional coordinates:
Zn: 0.1334 0.2246 0.1198 (multiplicity 8)
Ga: 0.0000 0.0343 0.2500 (multiplicity 4)
Ga: 0.1132 0.3437 0.5565 (multiplicity 8)
Ga: 0.2377 0.4538 0.0081 (multiplicity 8)
Pd: 0.0000 0.4873 0.2500 (multiplicity 4)
Pd: 0.1322 0.1497 0.6300 (multiplicity 8)



Record 7
DFT (PBE) results for a relaxed ZnGaPd2 crystal.

Summary:
total energy	-4.252	eV per atom
total magnetic moment	0.00	μB per formula unit
E_form	-0.5808	eV per atom

a b c (Å): 6.3115 8.6141 4.3176
angles (deg): 90.00 90.00 90.00
Space group Cmcm (No. 63)
Inequivalent atoms, fractional coordinates:
Zn: 0.0000 0.1174 0.2500 (multiplicity 4)
Ga: 0.0000 0.3661 0.7500 (multiplicity 4)
Pd: 0.2402 0.3753 0.2500 (multiplicity 8)



Record 8
DFT (PBE) results for a relaxed Zn3Ga2Pd3 crystal.

Summary:
total energy	-3.610	eV per atom
excess energy over the best structure of this formula in the dataset	0.0198	eV per atom
total magnetic moment	0.00	μB per formula unit
E_form	-0.4283	eV per atom

a b c (Å): 3.7943 3.8853 16.2274
angles (deg): 90.00 90.00 90.00
Space group Immm (No. 71)
Inequivalent atoms, fractional coordinates:
Zn: 0.0000 0.0000 0.0000 (multiplicity 2)
Zn: 0.0000 0.5000 0.1138 (multiplicity 4)
Ga: 0.0000 0.0000 0.2515 (multiplicity 4)
Pd: 0.0000 0.0000 0.5000 (multiplicity 2)
Pd: 0.0000 0.5000 0.3648 (multiplicity 4)



> Number 5 is which compound?

Zn8GaPd5



> What is the total magnetic moment in the seventh record?

0.00 μB per formula unit



Copy entry 6 word for word.
DFT (PBE) results for a relaxed Zn2Ga5Pd3 crystal.

Summary:
total energy	-3.656	eV per atom
total magnetic moment	0.00	μB per formula unit
E_form	-0.3299	eV per atom

a b c (Å): 9.2608 12.8016 5.5411
angles (deg): 90.00 100.01 90.00
Space group C2/c (No. 15)
Inequivalent atoms, fractional coordinates:
Zn: 0.1334 0.2246 0.1198 (multiplicity 8)
Ga: 0.0000 0.0343 0.2500 (multiplicity 4)
Ga: 0.1132 0.3437 0.5565 (multiplicity 8)
Ga: 0.2377 0.4538 0.0081 (multiplicity 8)
Pd: 0.0000 0.4873 0.2500 (multiplicity 4)
Pd: 0.1322 0.1497 0.6300 (multiplicity 8)